A plane-wave DFT calculation with GGA-PBE was carried out for crystalline CdAsP at its relaxed geometry.

Structure (CIF):
```
data_CdAsP
_symmetry_space_group_name_H-M 'I 4 m m'
_symmetry_Int_Tables_number 107
_symmetry_space_group_name_Hall 'I 4 -2'
_cell_length_a 3.611
_cell_length_b 3.611
_cell_length_c 10.997
_cell_angle_alpha 90.00
_cell_angle_beta 90.00
_cell_angle_gamma 90.00
loop_
_atom_site_label
_atom_site_fract_x
_atom_site_fract_y
_atom_site_fract_z
Cd1 0.000 0.000 0.000
As1 0.000 0.000 0.239
P1 0.000 0.000 0.771
```

Calculated values
Offset from the most stable computed form (eV/f.u.): 0.84

***

A plane-wave DFT calculation with GGA-PBE was carried out for crystalline CdAsP at its relaxed geometry.

Structure (CIF):
```
data_CdAsP
_symmetry_space_group_name_H-M 'P 4/n m m'
_symmetry_Int_Tables_number 129
_cell_length_a 3.885
_cell_length_b 3.885
_cell_length_c 8.460
_cell_angle_alpha 90.00
_cell_angle_beta 90.00
_cell_angle_gamma 90.00
loop_
_symmetry_equiv_pos_as_xyz
'x,y,z'
'-x,-y,-z'
'-y+1/2,x,z'
'y+1/2,-x,-z'
'-x+1/2,-y+1/2,z'
'x+1/2,y+1/2,-z'
'y,-x+1/2,z'
'-y,x+1/2,-z'
'x+1/2,-y,-z'
'-x+1/2,y,z'
'-y,-x,-z'
'y,x,z'
'-x,y+1/2,-z'
'x,-y+1/2,z'
'y+1/2,x+1/2,-z'
'-y+1/2,-x+1/2,z'
loop_
_atom_site_label
_atom_site_fract_x
_atom_site_fract_y
_atom_site_fract_z
Cd1 0.250 0.750 0.000
As1 0.250 0.250 0.359
P1 0.250 0.250 0.642
```

Calculated values
Offset from the most stable computed form (eV/f.u.): 0.96

***

A plane-wave DFT calculation with GGA-PBE was carried out for crystalline CdAsP at its relaxed geometry.

Structure (CIF):
```
data_CdAsP
_symmetry_space_group_name_H-M 'F m m 2'
_symmetry_Int_Tables_number 42
_symmetry_space_group_name_Hall 'F 2 -2'
_cell_length_a 3.351
_cell_length_b 5.169
_cell_length_c 15.026
_cell_angle_alpha 90.00
_cell_angle_beta 90.00
_cell_angle_gamma 90.00
loop_
_atom_site_label
_atom_site_fract_x
_atom_site_fract_y
_atom_site_fract_z
Cd1 0.000 0.000 0.000
As1 0.000 0.000 0.702
P1 0.000 0.000 0.317
```

Calculated values
Offset from the most stable computed form (eV/f.u.): 1.40

***

A plane-wave DFT calculation with GGA-PBE was carried out for crystalline CdAs2P6 at its relaxed geometry.

Structure (CIF):
```
data_CdAs2P6
_symmetry_space_group_name_H-M 'P -3 1 m'
_symmetry_Int_Tables_number 162
_symmetry_space_group_name_Hall '-P 3 2'
_cell_length_a 6.9362
_cell_length_b 6.9362
_cell_length_c 4.4072
_cell_angle_alpha 90.00
_cell_angle_beta 90.00
_cell_angle_gamma 120.00
loop_
_atom_site_label
_atom_site_fract_x
_atom_site_fract_y
_atom_site_fract_z
Cd1 0.0000 0.0000 0.0000
As1 0.3333 0.6667 0.5000
P1 0.0000 0.3892 0.1715
```

***

One value per record, in order, for energy relative to the elements: 208.0 247.8 392.8 267.4 meV/atom.
One value per record, in order, for electronic total energy: -3.450 -3.410 -3.265 -4.474 eV per atom.
One value per record, in order, for density: 5.1 5.7 5.6 4.1 Mg/m³.